! PBE Hf2Ga2Ru3, optimized geometry; values from VASP
&SYSTEM
  ibrav = 0, nat = 7, ntyp = 3
/
ATOMIC_SPECIES
Hf 178.49 Hf.upf
Ga 69.72 Ga.upf
Ru 101.07 Ru.upf
ATOMIC_POSITIONS crystal
Hf 0.244 0.415 0.160
Hf 0.756 0.585 0.840
Ga 0.312 0.798 0.608
Ga 0.688 0.202 0.392
Ru 0.034 0.191 0.723
Ru 0.500 0.000 0.000
Ru 0.966 0.809 0.277
CELL_PARAMETERS angstrom
4.520 0.000 0.000
-2.258 3.927 0.000
-0.973 -2.041 6.472
! Formation energy, meV per atom: -565.2
! D(E_F), states/eV/atom: 0.602
! Raw total energy, hartree per atom: -0.3032